(1)
DFT (PBE) results for a geometry-optimized SiNiSn structure.

abc: 4.1786 4.1786 4.1786
angles: 60.00 60.00 60.00
Positions (direct):
Si 0.0000 0.0000 0.0000
Ni 0.2500 0.2500 0.2500
Sn 0.5000 0.5000 0.5000

Values from the calculation:
E_form (uncorrected)	-0.118	eV per atom
N(E_F)	0.350	states/eV/atom
electronic total energy	-15.560	eV for the cell shown

(2)
DFT (PBE) results for a geometry-optimized ScZnH2 structure.

abc: 5.8519 5.8519 5.8519
angles: 137.58 137.58 61.54
Positions (direct):
Sc 0.0000 0.0000 0.0000
Sc 0.7500 0.2500 0.5000
Zn 0.2500 0.7500 0.5000
Zn 0.5000 0.5000 0.0000
H 0.1307 0.6250 0.0057
H 0.3750 0.3807 0.5057
H 0.6193 0.1250 0.9943
H 0.8750 0.8693 0.4943

Values from the calculation:
energy above the most stable polymorph in this dataset	0.000	eV per formula unit
N(E_F)	0.242	states/eV/atom
electronic total energy	-29.719	eV for the cell shown

(3)
DFT (PBE) results for a geometry-optimized La3TiPd structure.

abc: 5.6543 5.6543 5.6543
angles: 90.00 90.00 90.00
Positions (direct):
La 0.0000 0.0000 0.5000
La 0.0000 0.5000 0.0000
La 0.5000 0.0000 0.0000
Ti 0.5000 0.5000 0.5000
Pd 0.0000 0.0000 0.0000

Values from the calculation:
energy above the most stable polymorph in this dataset	0.000	eV per formula unit
N(E_F)	1.634	states/eV/atom
electronic total energy	-26.658	eV for the cell shown

(4)
DFT (PBE) results for a geometry-optimized TcMo2Os structure.

abc: 5.1563 5.1563 5.1563
angles: 144.80 128.70 63.75
Positions (direct):
Tc 0.0000 0.0000 0.0000
Mo 0.2415 0.7415 0.5000
Mo 0.7585 0.2585 0.5000
Os 0.5000 0.5000 0.0000

Values from the calculation:
energy above the most stable polymorph in this dataset	0.386	eV per formula unit
N(E_F)	1.044	states/eV/atom
electronic total energy	-42.450	eV for the cell shown